1.
{
  "formula": "TaTl2Br",
  "functional": "GGA-PBE",
  "state": "optimized geometry",
  "cell": [[0.000, 3.736, 3.736], [3.736, 0.000, 3.736], [3.736, 3.736, 0.000]],
  "species": ["Tl", "Tl", "Ta", "Br"],
  "fractional_positions": [[0.250, 0.250, 0.250], [0.750, 0.750, 0.750], [0.500, 0.500, 0.500], [0.000, 0.000, 0.000]],
  "de_polymorph_mev_per_atom": 865,
  "rho_g_cm3": 10.7,
  "total_energy_ev_per_cell": -14.5,
  "volume_a3_per_atom": 26.073,
  "e_form_raw_ev_per_atom": 0.929
}

***

2.
{
  "formula": "CeEuRu2",
  "functional": "GGA-PBE",
  "state": "optimized geometry",
  "cell": [[-0.219, -2.736, -2.057], [2.169, -1.705, 2.037], [-5.503, -2.434, 3.822]],
  "species": ["Ce", "Eu", "Ru", "Ru"],
  "fractional_positions": [[0.500, 0.500, 0.000], [0.500, 0.500, 0.500], [0.000, 0.000, 0.787], [0.000, 0.000, 0.213]],
  "de_polymorph_mev_per_atom": 0,
  "rho_g_cm3": 9.8,
  "total_energy_ev_per_cell": -35.2,
  "formation_energy_ev_per_atom": -0.12,
  "volume_a3_per_atom": 20.963
}